The following is a PBE calculation of crystalline YTlAs2O6 at its relaxed geometry, from Alexandria.

a b c (Å): 7.055 7.055 7.055
angles (deg): 48.69 48.69 48.69
Sites, in units of the cell vectors:
Y 0.000 0.000 0.000
Tl 0.500 0.500 0.500
As 0.236 0.236 0.236
As 0.764 0.764 0.764
O 0.015 0.203 0.573
O 0.203 0.573 0.015
O 0.427 0.985 0.797
O 0.573 0.015 0.203
O 0.797 0.427 0.985
O 0.985 0.797 0.427

## Properties
Size of the total moment, μB per formula unit: 2.01
ΔE_f (raw), meV/atom: -1578
Space-group type: R-3, No. 148
E, eV/atom: -6.366

=====

The following is a PBE calculation of crystalline Tl2Zn2AsO6 at its relaxed geometry, from Alexandria.

a b c (Å): 6.236 6.236 6.236
angles (deg): 55.66 55.66 55.66
Sites, in units of the cell vectors:
Tl 0.202 0.202 0.202
Tl 0.798 0.798 0.798
Zn 0.380 0.380 0.380
Zn 0.620 0.620 0.620
As 0.000 0.000 0.000
O 0.221 0.221 0.778
O 0.221 0.778 0.221
O 0.222 0.779 0.779
O 0.778 0.221 0.221
O 0.779 0.222 0.779
O 0.779 0.779 0.222

## Properties
Size of the total moment, μB per formula unit: 0.00
ΔE_f (raw), meV/atom: -940
Space-group type: R-3m, No. 166
E, eV/atom: -4.729

=====

N(E_F) list, top to bottom, in states/eV/f.u.: 0.20; 6.28